Computed, not measured: an optimized crystal structure of ScInAg2B at the PBE level of DFT.

Results
- magnetization (μB/atom) = 0.31
- E_form (eV per atom) = 1.3293
- crystal system = tetragonal
- total DFT energy (no corrections) (eV/atom) = -2.96
- N(E_F) (states/eV per cell) = 3.47

Lattice parameters (Å, degrees): 6.0812 6.0812 5.0508 90.00 90.00 90.00
Closest atoms and distances in Å follow each position.
Space group P4/mmm (No. 123)
Symmetry-distinct sites (fractional):
Sc 0.0000 0.0000 0.0000 [1 per cell]  2 B 2.53
In 0.5000 0.5000 0.5000 [1 per cell]  8 Ag 3.95, 4 B 4.30
Ag 0.0000 0.5000 0.0000 [2 per cell]  2 Sc 3.04
B 0.0000 0.0000 0.5000 [1 per cell]  2 Sc 2.53